(1)
ReNi4W at its PBEsol-relaxed geometry. Source: the Alexandria database, functional meta-GGA SCAN.

Formation enthalpy at 0 K in meV per atom: 3.1
Space-group type: F-43m
M_tot in μB per formula unit: 1.21
Volume in Å³/cell: 70

Cell lengths 4.6194, 4.6194, 4.6194 Å; angles 60.00, 60.00, 60.00 degrees
Last column: nearest neighbours and their distance in Å.
Fractional coordinates of all 6 atoms:
Ni1 0.6248 0.6248 0.1256  6 Ni 2.31
Ni2 0.1256 0.6248 0.6248  6 Ni 2.31
Ni3 0.6248 0.1256 0.6248  6 Ni 2.31
Ni4 0.6248 0.6248 0.6248  6 Ni 2.31
Re1 0.2500 0.2500 0.2500  12 Ni 2.71, 4 W 2.83
W1 0.0000 0.0000 0.0000  12 Ni 2.71, 4 Re 2.83

---

(2)
ReSiP2 at its PBEsol-relaxed geometry. Source: the Alexandria database, functional meta-GGA SCAN.

ΔE_f (raw) in eV/atom: 0.59
Space-group type: Cmm2
M_tot in μB per formula unit: 0.00
Volume in Å³/cell: 59

Cell lengths 2.7616, 2.7616, 8.3850 Å; angles 90.00, 90.00, 113.26 degrees
Last column: nearest neighbours and their distance in Å.
Fractional coordinates of all 4 atoms:
P1 0.0000 0.0000 0.0313  2 Si 2.41
P2 0.5000 0.5000 0.7163  2 Re 2.38
Re1 0.0000 0.0000 0.4978  2 P 2.38, 2 Si 2.54
Si1 0.5000 0.5000 0.2546  2 P 2.41, 2 Re 2.54

---

(3)
SmCl3 at its PBEsol-relaxed geometry. Source: the Alexandria database, functional meta-GGA SCAN.

ΔE_f (raw) in eV/atom: -2.43
Space-group type: P6_3/mmc
M_tot in μB per formula unit: 0.00
Volume in Å³/cell: 281

Cell lengths 3.6634, 9.4144, 9.4144 Å; angles 120.00, 90.00, 90.00 degrees
Last column: nearest neighbours and their distance in Å.
Fractional coordinates of all 8 atoms:
Sm1 0.7500 0.3333 0.6667  6 Cl 2.70
Sm2 0.2500 0.6667 0.3333  6 Cl 2.70
Cl1 0.2500 0.5762 0.7881  2 Sm 2.70
Cl2 0.2500 0.2119 0.4238  2 Sm 2.70
Cl3 0.2500 0.2119 0.7881  2 Sm 2.70
Cl4 0.7500 0.4238 0.2119  2 Sm 2.70
Cl5 0.7500 0.7881 0.5762  2 Sm 2.70
Cl6 0.7500 0.7881 0.2119  2 Sm 2.70

---

(4)
Mn3CuP4O16 at its PBEsol-relaxed geometry. Source: the Alexandria database, functional meta-GGA SCAN.

ΔE_f (raw) in eV/atom: -2.20
Space-group type: Pm
M_tot in μB per formula unit: 12.00
Volume in Å³/cell: 264

Cell lengths 4.7442, 5.7792, 9.6298 Å; angles 90.00, 90.87, 90.00 degrees
Last column: nearest neighbours and their distance in Å.
Fractional coordinates of all 24 atoms:
Mn1 0.5625 0.0000 0.7822  4 O 1.85-1.98
Mn2 0.4503 0.5000 0.2245  6 O 1.87-2.00
Mn3 0.0697 0.5000 0.7226  4 O 1.86-1.97
Cu1 0.9198 0.0000 0.2789  4 O 1.87-2.03
P1 0.8909 0.5000 0.4025  4 O 1.52-1.57
P2 0.6063 0.5000 0.9096  4 O 1.53-1.57
P3 0.4109 0.0000 0.0936  4 O 1.52-1.57
P4 0.0952 0.0000 0.5947  4 O 1.51-1.58
O1 0.8475 0.5000 0.5601  1 P 1.53
O2 0.7222 0.2987 0.3295  1 P 1.57
O3 0.7222 0.7013 0.3295  1 P 1.57
O4 0.7776 0.0000 0.6226  1 P 1.53
O5 0.7305 0.0000 0.1071  1 P 1.52
O6 0.7540 0.2929 0.8350  1 P 1.57
O7 0.7540 0.7071 0.8350  1 P 1.57
O8 0.6716 0.5000 0.0659  1 P 1.53
O9 0.3351 0.0000 0.9362  1 P 1.55
O10 0.2685 0.7844 0.1634  1 P 1.57
O11 0.2685 0.2156 0.1634  1 P 1.57
O12 0.2861 0.5000 0.8851  1 P 1.53
O13 0.2067 0.5000 0.3757  1 P 1.52
O14 0.2508 0.7935 0.6712  1 P 1.58
O15 0.2508 0.2065 0.6712  1 P 1.58
O16 0.1482 0.0000 0.4407  1 P 1.51

---

(5)
GaTeC2 at its PBEsol-relaxed geometry. Source: the Alexandria database, functional meta-GGA SCAN.

ΔE_f (raw) in eV/atom: 2.36
Space-group type: Fm-3m
M_tot in μB per formula unit: 0.00
Volume in Å³/cell: 51

Cell lengths 4.1702, 4.1702, 4.1702 Å; angles 60.00, 60.00, 60.00 degrees
Last column: nearest neighbours and their distance in Å.
Fractional coordinates of all 4 atoms:
C1 0.2500 0.2500 0.2500  4 Te 2.55, 4 Ga 2.55
C2 0.7500 0.7500 0.7500  4 Te 2.55, 4 Ga 2.55
Te1 0.5000 0.5000 0.5000  8 C 2.55
Ga1 0.0000 0.0000 0.0000  8 C 2.55

---

(6)
FeRhI2O at its PBEsol-relaxed geometry. Source: the Alexandria database, functional meta-GGA SCAN.

ΔE_f (raw) in eV/atom: 0.24
Space-group type: P4/mmm
M_tot in μB per formula unit: 0.00
Volume in Å³/cell: 90

Cell lengths 3.3779, 5.1558, 5.1558 Å; angles 90.00, 90.00, 90.00 degrees
Last column: nearest neighbours and their distance in Å.
Fractional coordinates of all 5 atoms:
I1 0.0000 0.0000 0.5000  2 Fe 2.58
I2 0.0000 0.5000 0.0000  2 Fe 2.58
Rh1 0.5000 0.5000 0.5000  8 I 3.08, 2 Rh 3.38
Fe1 0.0000 0.0000 0.0000  2 O 1.69
O1 0.5000 0.0000 0.0000  2 Fe 1.69

---

(7)
TcMo2Pb at its PBEsol-relaxed geometry. Source: the Alexandria database, functional meta-GGA SCAN.

Formation enthalpy at 0 K in meV per atom: 499.1
Space-group type: P4mm
M_tot in μB per formula unit: 0.00
Volume in Å³/cell: 68

Cell lengths 3.0837, 3.0837, 7.1768 Å; angles 90.00, 90.00, 90.00 degrees
Last column: nearest neighbours and their distance in Å.
Fractional coordinates of all 4 atoms:
Mo1 0.0000 0.0000 0.9891  4 Tc 2.61, 4 Mo 2.72
Mo2 0.5000 0.5000 0.2152  4 Mo 2.72, 4 Pb 3.02
Pb1 0.0000 0.0000 0.5058  4 Tc 2.99, 4 Mo 3.02, 4 Pb 3.08
Tc1 0.5000 0.5000 0.7899  4 Mo 2.61

---

(8)
ZnNi6Mo at its PBEsol-relaxed geometry. Source: the Alexandria database, functional meta-GGA SCAN.

Formation enthalpy at 0 K in meV per atom: -72.7
Space-group type: Cmmm
M_tot in μB per formula unit: 0.00
Volume in Å³/cell: 357

Cell lengths 6.1401, 6.1401, 10.0395 Å; angles 90.00, 90.00, 109.53 degrees
Last column: nearest neighbours and their distance in Å.
Fractional coordinates of all 32 atoms:
Mo1 0.2538 0.7462 0.0000  12 Ni 2.47-2.55
Mo2 0.7462 0.2538 0.0000  12 Ni 2.47-2.55
Mo3 0.5000 0.5000 0.7412  12 Ni 2.42-2.60
Mo4 0.5000 0.5000 0.2588  12 Ni 2.42-2.60
Ni1 0.2506 0.7494 0.7523  2 Mo 2.49-2.50, 8 Ni 2.49-2.53, 2 Zn 2.51-2.53
Ni2 0.8743 0.6241 0.8760  3 Mo 2.48-2.55, 8 Ni 2.49-2.51, 1 Zn 2.53
Ni3 0.1257 0.3759 0.8760  3 Mo 2.48-2.55, 8 Ni 2.49-2.51, 1 Zn 2.53
Ni4 0.7494 0.2506 0.7523  2 Mo 2.49-2.50, 8 Ni 2.49-2.53, 2 Zn 2.51-2.53
Ni5 0.3759 0.1257 0.8760  3 Mo 2.48-2.55, 8 Ni 2.49-2.51, 1 Zn 2.53
Ni6 0.6241 0.8743 0.8760  3 Mo 2.48-2.55, 8 Ni 2.49-2.51, 1 Zn 2.53
Ni7 0.5000 0.5000 0.5000  2 Mo 2.42, 8 Ni 2.50, 2 Zn 2.50
Ni8 0.1276 0.3756 0.6258  1 Mo 2.45, 8 Ni 2.49-2.53, 3 Zn 2.49-2.53
Ni9 0.3756 0.1276 0.6258  1 Mo 2.45, 8 Ni 2.49-2.53, 3 Zn 2.49-2.53
Ni10 0.2506 0.7494 0.2477  2 Mo 2.49-2.50, 8 Ni 2.49-2.53, 2 Zn 2.51-2.53
Ni11 0.8724 0.6244 0.3742  1 Mo 2.45, 8 Ni 2.49-2.53, 3 Zn 2.49-2.53
Ni12 0.1276 0.3756 0.3742  1 Mo 2.45, 8 Ni 2.49-2.53, 3 Zn 2.49-2.53
Ni13 0.7494 0.2506 0.2477  2 Mo 2.49-2.50, 8 Ni 2.49-2.53, 2 Zn 2.51-2.53
Ni14 0.3756 0.1276 0.3742  1 Mo 2.45, 8 Ni 2.49-2.53, 3 Zn 2.49-2.53
Ni15 0.6244 0.8724 0.3742  1 Mo 2.45, 8 Ni 2.49-2.53, 3 Zn 2.49-2.53
Ni16 0.5000 0.5000 0.0000  4 Mo 2.47-2.60, 8 Ni 2.50
Ni17 0.1257 0.3759 0.1240  3 Mo 2.48-2.55, 8 Ni 2.49-2.51, 1 Zn 2.53
Ni18 0.3759 0.1257 0.1240  3 Mo 2.48-2.55, 8 Ni 2.49-2.51, 1 Zn 2.53
Ni19 0.0000 0.0000 0.5000  4 Zn 2.48-2.51, 8 Ni 2.51
Ni20 0.6244 0.8724 0.6258  1 Mo 2.45, 8 Ni 2.49-2.53, 3 Zn 2.49-2.53
Ni21 0.8724 0.6244 0.6258  1 Mo 2.45, 8 Ni 2.49-2.53, 3 Zn 2.49-2.53
Ni22 0.0000 0.0000 0.0000  8 Ni 2.51, 2 Zn 2.54, 2 Mo 2.55
Ni23 0.6241 0.8743 0.1240  3 Mo 2.48-2.55, 8 Ni 2.49-2.51, 1 Zn 2.53
Ni24 0.8743 0.6241 0.1240  3 Mo 2.48-2.55, 8 Ni 2.49-2.51, 1 Zn 2.53
Zn1 0.2507 0.7493 0.5000  12 Ni 2.50-2.53
Zn2 0.7493 0.2507 0.5000  12 Ni 2.50-2.53
Zn3 0.0000 0.0000 0.7467  12 Ni 2.48-2.54
Zn4 0.0000 0.0000 0.2533  12 Ni 2.48-2.54